# LiFe2, PBEsol geometry, DFT meta-GGA SCAN
# Energy of formation, eV per formula unit: 2.7
# Crystal system: cubic
# D(E_F), states/eV/f.u.: 1.1
data_LiFe2
_chemical_formula_sum 'Li4 Fe8'
_cell_length_a 5.295
_cell_length_b 5.295
_cell_length_c 5.295
_cell_angle_alpha 90.00
_cell_angle_beta 90.00
_cell_angle_gamma 90.00
_space_group_name_H-M_alt 'F m -3 m'
_space_group_IT_number 225
_space_group_name_Hall '-F 4 2 3'
loop_
_atom_site_label
_atom_site_type_symbol
_atom_site_fract_x
_atom_site_fract_y
_atom_site_fract_z
_atom_site_occupancy
Li1 Li 0.000 0.000 0.000 1
Fe1 Fe 0.250 0.250 0.250 1

# LiFe3, PBEsol geometry, DFT meta-GGA SCAN
# Energy of formation, eV per formula unit: 0.9
# Crystal system: orthorhombic
# D(E_F), states/eV/f.u.: 2.7
data_LiFe3
_chemical_formula_sum 'Li2 Fe6'
_cell_length_a 4.869
_cell_length_b 7.500
_cell_length_c 2.354
_cell_angle_alpha 90.00
_cell_angle_beta 90.00
_cell_angle_gamma 90.00
_space_group_name_H-M_alt 'C m m m'
_space_group_IT_number 65
_space_group_name_Hall '-C 2 2'
loop_
_atom_site_label
_atom_site_type_symbol
_atom_site_fract_x
_atom_site_fract_y
_atom_site_fract_z
_atom_site_occupancy
Li1 Li 0.000 0.000 0.000 1
Fe1 Fe 0.000 0.500 0.000 1
Fe2 Fe 0.250 0.250 0.500 1

# Li2Fe, PBEsol geometry, DFT meta-GGA SCAN
# Energy of formation, eV per formula unit: 1.1
# Crystal system: orthorhombic
# D(E_F), states/eV/f.u.: 1.8
data_Li2Fe
_chemical_formula_sum 'Li4 Fe2'
_cell_length_a 2.359
_cell_length_b 4.209
_cell_length_c 8.031
_cell_angle_alpha 90.00
_cell_angle_beta 90.00
_cell_angle_gamma 90.00
_space_group_name_H-M_alt 'I m m m'
_space_group_IT_number 71
_space_group_name_Hall '-I 2 2'
loop_
_atom_site_label
_atom_site_type_symbol
_atom_site_fract_x
_atom_site_fract_y
_atom_site_fract_z
_atom_site_occupancy
Li1 Li 0.000 0.000 0.163 1
Fe1 Fe 0.000 0.000 0.500 1

# LiFe2, PBEsol geometry, DFT meta-GGA SCAN
# Energy of formation, eV per formula unit: 1.0
# Crystal system: hexagonal
# D(E_F), states/eV/f.u.: 1.3
data_LiFe2
_chemical_formula_sum 'Li2 Fe4'
_cell_length_a 4.0000
_cell_length_b 4.0000
_cell_length_c 4.7524
_cell_angle_alpha 90.00
_cell_angle_beta 90.00
_cell_angle_gamma 120.00
_space_group_name_H-M_alt 'P 63/m m c'
_space_group_IT_number 194
_space_group_name_Hall '-P 6c 2c'
loop_
_atom_site_label
_atom_site_type_symbol
_atom_site_fract_x
_atom_site_fract_y
_atom_site_fract_z
_atom_site_occupancy
Li1 Li 0.3333 0.6667 0.2500 1
Fe1 Fe 0.0000 0.0000 0.0000 1
Fe2 Fe 0.3333 0.6667 0.7500 1

- The highest D(E_F) belongs to which entry?
  LiFe3